DFT (meta-GGA SCAN) results for a crystal of LaTi2Te2 relaxed with PBEsol.

Summary:
- raw formation energy (eV per atom) = -0.69
- Fermi-level density of states (states/eV/cell) = 7.09

abc: 5.213 5.213 8.522
angles: 90.00 90.00 90.00
Space group I4/mmm (No. 139)
Unique sites:
La (0.000, 0.000, 0.000) x2
Ti (0.000, 0.000, 0.380) x4
Te (0.000, 0.500, 0.250) x4

=====

DFT (meta-GGA SCAN) results for a crystal of LaTiTe2W relaxed with PBEsol.

Summary:
- raw formation energy (eV per atom) = 1.75
- Fermi-level density of states (states/eV/cell) = 2.84

abc: 5.856 5.856 4.986
angles: 90.00 90.00 90.00
Space group P4/mmm (No. 123)
Unique sites:
La (0.000, 0.000, 0.000) x1
Ti (0.000, 0.000, 0.500) x1
Te (0.000, 0.500, 0.000) x2
W (0.500, 0.500, 0.500) x1

=====

DFT (meta-GGA SCAN) results for a crystal of LaTl9Te6 relaxed with PBEsol.

Summary:
- raw formation energy (eV per atom) = -0.53

abc: 8.780 8.780 13.099
angles: 90.00 90.00 90.00
Space group I4/m (No. 87)
Unique sites:
La (0.000, 0.000, 0.000) x2
Tl (0.000, 0.000, 0.500) x2
Tl (0.139, 0.344, 0.340) x16
Te (0.000, 0.000, 0.242) x4
Te (0.152, 0.335, 0.000) x8

=====

DFT (meta-GGA SCAN) results for a crystal of LaTlTe2 relaxed with PBEsol.

Summary:
- raw formation energy (eV per atom) = -1.22

abc: 4.755 4.367 11.835
angles: 90.00 90.00 90.00
Space group Amm2 (No. 38)
Unique sites:
La (0.000, 0.000, 0.000) x2
Tl (0.500, 0.000, 0.196) x2
Te (0.000, 0.000, 0.712) x2
Te (0.500, 0.000, 0.443) x2

=====

DFT (meta-GGA SCAN) results for a crystal of LaTlTe2 relaxed with PBEsol.

Summary:
- raw formation energy (eV per atom) = -0.62
- Fermi-level density of states (states/eV/cell) = 3.94

abc: 7.780 7.780 7.780
angles: 90.00 90.00 90.00
Space group F-43m (No. 216)
Unique sites:
La (0.000, 0.000, 0.000) x4
Tl (0.250, 0.250, 0.750) x4
Te (0.000, 0.000, 0.500) x4
Te (0.250, 0.250, 0.250) x4

=====

DFT (meta-GGA SCAN) results for a crystal of LaUTe6 relaxed with PBEsol.

Summary:
- raw formation energy (eV per atom) = -0.85
- Fermi-level density of states (states/eV/cell) = 21.83

abc: 4.354 4.349 25.288
angles: 90.00 90.00 90.00
Space group Amm2 (No. 38)
Unique sites:
La (0.000, 0.000, 0.000) x2
U (0.500, 0.000, 0.335) x2
Te (0.000, 0.000, 0.243) x2
Te (0.000, 0.000, 0.599) x2
Te (0.000, 0.000, 0.868) x2
Te (0.500, 0.000, 0.099) x2
Te (0.500, 0.000, 0.460) x2
Te (0.500, 0.000, 0.743) x2